Here is a geometry-optimized Er5Tl3Ga structure from Alexandria. Energies are from GGA-PBE.

Lattice parameters (Å, degrees): 6.625 9.133 9.133 120.00 90.00 90.00
Positions (direct):
1 Tl 0.750 0.000 0.614
2 Tl 0.250 0.000 0.386
3 Tl 0.250 0.614 0.614
4 Tl 0.750 0.386 0.386
5 Tl 0.750 0.614 0.000
6 Tl 0.250 0.386 0.000
7 Er 0.250 0.267 0.267
8 Er 0.250 0.000 0.733
9 Er 0.000 0.667 0.333
10 Er 0.500 0.667 0.333
11 Er 0.750 0.733 0.733
12 Er 0.500 0.333 0.667
13 Er 0.750 0.000 0.267
14 Er 0.000 0.333 0.667
15 Er 0.250 0.733 0.000
16 Er 0.750 0.267 0.000
17 Ga 0.000 0.000 0.000
18 Ga 0.500 0.000 0.000

Properties
Fermi-level density of states: 6.96 states/eV/f.u.
Energy of formation: -389 meV per atom
Theoretical density: 10.54 g cm⁻³



Here is a geometry-optimized Rb4TeICl structure from Alexandria. Energies are from GGA-PBE.

Lattice parameters (Å, degrees): 9.091 8.209 11.987 90.00 110.70 90.00
Positions (direct):
1 Cl 0.818 0.250 0.746
2 Cl 0.182 0.750 0.254
3 Te 0.763 0.750 0.461
4 Te 0.237 0.250 0.539
5 Rb 0.410 0.750 0.537
6 Rb 0.533 0.250 0.835
7 Rb 0.467 0.750 0.165
8 Rb 0.041 0.994 0.692
9 Rb 0.959 0.006 0.308
10 Rb 0.041 0.506 0.692
11 Rb 0.590 0.250 0.463
12 Rb 0.959 0.494 0.308
13 I 0.602 0.250 0.154
14 I 0.398 0.750 0.846

Properties
Fermi-level density of states: 0.00 states/eV/f.u.
E_form (uncorrected): -128.0 kJ/mol of atoms
Theoretical density: 2.51 g cm⁻³



Here is a geometry-optimized Cu2SbO4 structure from Alexandria. Energies are from GGA-PBE.

Lattice parameters (Å, degrees): 5.199 4.825 4.825 73.12 57.40 57.40
Site moments in Bohr magnetons follow the coordinates.
Positions (direct):
1 O 0.572 0.856 0.500  0.31
2 O 0.072 0.500 0.856  0.31
3 O 0.928 0.144 0.500  0.31
4 O 0.428 0.500 0.144  0.31
5 Sb 0.000 0.000 0.000  -0.01
6 Cu 0.500 0.500 0.500  0.60
7 Cu 0.000 0.500 0.500  0.60

Properties
Fermi-level density of states: 5.05 states/eV/f.u.
E_form (uncorrected): -31.9 kJ/mol of atoms
Theoretical density: 6.05 g cm⁻³



Here is a geometry-optimized TiBeZn2Fe structure from Alexandria. Energies are from GGA-PBE.

Lattice parameters (Å, degrees): 4.418 3.928 4.418 90.00 90.00 90.00
Positions (direct):
1 Be 0.000 0.500 0.000
2 Ti 0.500 0.500 0.500
3 Fe 0.000 0.000 0.000
4 Zn 0.500 0.000 0.000
5 Zn 0.000 0.000 0.500

Properties
Fermi-level density of states: 6.93 states/eV/f.u.
Energy of formation: 569 meV per atom
Theoretical density: 5.27 g cm⁻³



Here is a geometry-optimized Te2AsP structure from Alexandria. Energies are from GGA-PBE.

Lattice parameters (Å, degrees): 7.299 7.299 6.698 56.99 56.99 90.00
Positions (direct):
1 P 0.500 0.500 0.000
2 P 0.250 0.750 0.500
3 As 0.000 0.000 0.000
4 As 0.750 0.250 0.500
5 Te 0.375 0.386 0.750
6 Te 0.136 0.625 0.250
7 Te 0.614 0.125 0.250
8 Te 0.875 0.864 0.750

Properties
Fermi-level density of states: 2.12 states/eV/f.u.
E_form (uncorrected): 36.3 kJ/mol of atoms
Theoretical density: 5.27 g cm⁻³
Offset from the most stable computed form: 240 meV per atom



Here is a geometry-optimized KZrIn structure from Alexandria. Energies are from GGA-PBE.

Lattice parameters (Å, degrees): 5.010 5.324 9.249 106.64 75.12 89.51
Positions (direct):
1 Zr 0.878 0.970 0.039
2 Zr 0.458 0.910 0.911
3 K 0.769 0.648 0.391
4 K 0.117 0.299 0.690
5 In 0.286 0.078 0.252
6 In 0.561 0.465 0.023

Properties
Fermi-level density of states: 3.06 states/eV/f.u.
Energy of formation: 342 meV per atom
Theoretical density: 3.58 g cm⁻³
Offset from the most stable computed form: 393 meV per atom